1.
ZrAgSe: optimized geometry, PBE.

Cell lengths 4.531, 4.531, 3.685 Å; angles 90.00, 90.00, 120.00 degrees
Positions (direct):
Zr 0.000 0.000 0.000
Ag 0.667 0.333 0.500
Se 0.333 0.667 0.000

Formation energy without anion corrections (meV/atom): -290
Energy (eV per atom): -5.25
M_tot (μB/atom): 0.0000
Space group: No. 187
D(E_F) (states/eV per atom): 0.616

2.
AlTlIn2: optimized geometry, PBE.

Cell lengths 4.471, 4.471, 5.148 Å; angles 90.00, 90.00, 90.00 degrees
Positions (direct):
Al 0.000 0.000 0.000
Tl 0.500 0.500 0.000
In 0.000 0.500 0.500
In 0.500 0.000 0.500

Energy (eV per atom): -2.73
M_tot (μB/atom): 0.0000
Space group: No. 123
D(E_F) (states/eV per atom): 0.414
DFT formation energy (meV per atom): 167

3.
Y4ErP5: optimized geometry, PBE.

Cell lengths 6.937, 6.937, 6.937 Å; angles 99.60, 99.60, 131.80 degrees
Positions (direct):
Y 0.100 0.700 0.800
Y 0.300 0.100 0.400
Y 0.700 0.900 0.600
Y 0.900 0.300 0.200
Er 0.500 0.500 0.000
P 0.000 0.000 0.000
P 0.202 0.401 0.602
P 0.401 0.798 0.199
P 0.599 0.202 0.801
P 0.798 0.599 0.398

Energy (eV per atom): -7.37
M_tot (μB/atom): 0.0000
Space group: No. 87
D(E_F) (states/eV per atom): 0.057
DFT formation energy (meV per atom): -1626

4.
PrPPt6: optimized geometry, PBE.

Cell lengths 6.668, 6.668, 6.668 Å; angles 49.69, 49.69, 49.69 degrees
Positions (direct):
Pr 0.000 0.000 0.000
P 0.500 0.500 0.500
Pt 0.067 0.585 0.585
Pt 0.415 0.415 0.933
Pt 0.415 0.933 0.415
Pt 0.585 0.067 0.585
Pt 0.585 0.585 0.067
Pt 0.933 0.415 0.415

Energy (eV per atom): -6.34
M_tot (μB/atom): 0.0000
Space group: No. 166
D(E_F) (states/eV per atom): 0.388
DFT formation energy (meV per atom): -538

5.
LiTl2CrI6: optimized geometry, PBE.

Cell lengths 7.821, 8.156, 13.638 Å; angles 90.00, 124.60, 90.00 degrees
Positions (direct):
Li 0.000 0.000 0.000
Li 0.000 0.500 0.500
Tl 0.224 0.083 0.750
Tl 0.224 0.417 0.250
Tl 0.776 0.583 0.750
Tl 0.776 0.917 0.250
Cr 0.500 0.000 0.500
Cr 0.500 0.500 0.000
I 0.168 0.186 0.458
I 0.168 0.314 0.958
I 0.278 0.713 0.462
I 0.278 0.787 0.962
I 0.347 0.006 0.261
I 0.347 0.494 0.761
I 0.653 0.506 0.239
I 0.653 0.994 0.739
I 0.722 0.213 0.038
I 0.722 0.287 0.538
I 0.832 0.686 0.042
I 0.832 0.814 0.542

Formation energy without anion corrections (meV/atom): -616
Energy (eV per atom): -3.17
M_tot (μB/atom): 0.2990
Space group: No. 14

6.
SrPAuCl2: optimized geometry, PBE.

Cell lengths 4.809, 4.809, 6.996 Å; angles 90.00, 90.00, 90.00 degrees
Positions (direct):
Sr 0.000 0.000 0.000
P 0.500 0.500 0.000
Au 0.000 0.000 0.500
Cl 0.000 0.500 0.500
Cl 0.500 0.000 0.500

Formation energy without anion corrections (meV/atom): -183
Energy (eV per atom): -3.00
M_tot (μB/atom): 0.3066
Space group: No. 123
D(E_F) (states/eV per atom): 0.521

7.
LaPm2Sm7: optimized geometry, PBE.

Cell lengths 9.310, 9.310, 5.654 Å; angles 90.00, 90.00, 123.19 degrees
Positions (direct):
La 0.000 0.000 0.000
Pm 0.297 0.703 0.500
Pm 0.703 0.297 0.500
Sm 0.064 0.295 0.500
Sm 0.225 0.775 0.000
Sm 0.295 0.064 0.500
Sm 0.500 0.500 0.500
Sm 0.705 0.936 0.500
Sm 0.775 0.225 0.000
Sm 0.936 0.705 0.500

Energy (eV per atom): -4.11
M_tot (μB/atom): 0.0000
Space group: No. 65
D(E_F) (states/eV per atom): 1.402
DFT formation energy (meV per atom): 636

8.
Sc3TlSn: optimized geometry, PBE.

Cell lengths 5.335, 5.335, 5.335 Å; angles 90.00, 90.00, 90.00 degrees
Positions (direct):
Sc 0.000 0.000 0.500
Sc 0.000 0.500 0.000
Sc 0.500 0.000 0.000
Tl 0.500 0.500 0.500
Sn 0.000 0.000 0.000

Energy (eV per atom): -4.92
M_tot (μB/atom): 0.0000
Space group: No. 221
D(E_F) (states/eV per atom): 0.316
DFT formation energy (meV per atom): 150

9.
MgPaZn: optimized geometry, PBE.

Cell lengths 7.048, 7.048, 7.048 Å; angles 155.05, 155.05, 35.58 degrees
Positions (direct):
Mg 0.000 0.000 0.000
Pa 0.695 0.695 0.000
Zn 0.360 0.360 0.000

Energy (eV per atom): -4.06
M_tot (μB/atom): 0.0560
Space group: No. 107
D(E_F) (states/eV per atom): 1.377
DFT formation energy (meV per atom): 58

10.
Na17Ga11Au: optimized geometry, PBE.

Cell lengths 9.618, 9.618, 9.622 Å; angles 109.13, 109.13, 109.73 degrees
Positions (direct):
Na 0.000 0.000 0.000
Na 0.003 0.003 0.654
Na 0.279 0.594 0.593
Na 0.311 0.716 0.313
Na 0.312 0.312 0.720
Na 0.350 0.350 0.351
Na 0.406 0.999 0.689
Na 0.407 0.686 0.000
Na 0.594 0.279 0.593
Na 0.596 0.596 0.280
Na 0.647 0.998 0.001
Na 0.686 0.407 0.000
Na 0.690 0.997 0.404
Na 0.716 0.311 0.313
Na 0.997 0.690 0.404
Na 0.998 0.647 0.001
Na 0.999 0.406 0.689
Ga 0.001 0.174 0.357
Ga 0.174 0.001 0.357
Ga 0.178 0.354 0.003
Ga 0.181 0.825 0.830
Ga 0.347 0.992 0.176
Ga 0.354 0.178 0.003
Ga 0.642 0.642 0.820
Ga 0.649 0.826 0.650
Ga 0.825 0.181 0.830
Ga 0.826 0.649 0.650
Ga 0.992 0.347 0.176
Au 0.823 0.823 0.157

Energy (eV per atom): -2.12
M_tot (μB/atom): 0.0000
Space group: No. 8
D(E_F) (states/eV per atom): 0.452
DFT formation energy (meV per atom): -86

11.
KInSnHg2: optimized geometry, PBE.

Cell lengths 5.892, 5.892, 5.787 Å; angles 90.00, 90.00, 90.00 degrees
Positions (direct):
K 0.000 0.000 0.000
In 0.500 0.500 0.000
Sn 0.500 0.500 0.500
Hg 0.000 0.500 0.500
Hg 0.500 0.000 0.500

Energy (eV per atom): -1.64
M_tot (μB/atom): 0.0000
Space group: No. 123
D(E_F) (states/eV per atom): 0.768
DFT formation energy (meV per atom): 51

12.
Ni2SnH: optimized geometry, PBE.

Cell lengths 4.148, 4.148, 4.148 Å; angles 60.00, 60.00, 60.00 degrees
Positions (direct):
Ni 0.250 0.250 0.250
Ni 0.750 0.750 0.750
Sn 0.000 0.000 0.000
H 0.500 0.500 0.500

Energy (eV per atom): -4.28
M_tot (μB/atom): 0.0000
Space group: No. 225
D(E_F) (states/eV per atom): 0.657

13.
K2MnPt: optimized geometry, PBE.

Cell lengths 11.591, 11.591, 11.591 Å; angles 15.67, 15.67, 15.67 degrees
Positions (direct):
K 0.242 0.242 0.242
K 0.758 0.758 0.758
Mn 0.000 0.000 0.000
Pt 0.500 0.500 0.500

Energy (eV per atom): -3.64
M_tot (μB/atom): 1.0869
Space group: No. 166
D(E_F) (states/eV per atom): 0.562
DFT formation energy (meV per atom): 707

14.
K2ScBr: optimized geometry, PBE.

Cell lengths 7.705, 7.705, 7.705 Å; angles 142.21, 142.21, 54.51 degrees
Positions (direct):
K 0.000 0.000 0.000
K 0.750 0.250 0.500
Sc 0.250 0.750 0.500
Br 0.500 0.500 0.000

Formation energy without anion corrections (meV/atom): 24
Energy (eV per atom): -2.53
M_tot (μB/atom): 0.4849
Space group: No. 119
D(E_F) (states/eV per atom): 1.313

15.
CoSiPb: optimized geometry, PBE.

Cell lengths 6.101, 6.101, 6.101 Å; angles 150.67, 150.67, 41.95 degrees
Positions (direct):
Co 0.000 0.000 0.000
Si 0.574 0.574 0.000
Pb 0.301 0.301 0.000

Formation energy without anion corrections (meV/atom): 216
Energy (eV per atom): -5.20
M_tot (μB/atom): 0.1293
Space group: No. 107
D(E_F) (states/eV per atom): 0.853

16.
YSn3S: optimized geometry, PBE.

Cell lengths 5.845, 5.845, 5.845 Å; angles 90.00, 90.00, 90.00 degrees
Positions (direct):
Y 0.000 0.000 0.000
Sn 0.000 0.000 0.500
Sn 0.000 0.500 0.000
Sn 0.500 0.000 0.000
S 0.500 0.500 0.500

Formation energy without anion corrections (meV/atom): 798
Energy (eV per atom): -3.72
M_tot (μB/atom): 0.0000
Space group: No. 221
D(E_F) (states/eV per atom): 1.460

17.
SrCuNiSn2: optimized geometry, PBE.

Cell lengths 5.983, 5.983, 5.067 Å; angles 90.00, 90.00, 90.00 degrees
Positions (direct):
Sr 0.000 0.000 0.000
Cu 0.000 0.000 0.500
Ni 0.500 0.500 0.500
Sn 0.000 0.500 0.000
Sn 0.500 0.000 0.000

Energy (eV per atom): -2.33
M_tot (μB/atom): 0.1170
Space group: No. 123
D(E_F) (states/eV per atom): 1.403
DFT formation energy (meV per atom): 1582

18.
MnCoIr2: optimized geometry, PBE.

Cell lengths 5.040, 5.040, 5.040 Å; angles 147.04, 129.36, 61.75 degrees
Positions (direct):
Mn 0.000 0.000 0.000
Co 0.225 0.725 0.500
Ir 0.484 0.484 0.000
Ir 0.756 0.256 0.500

Energy (eV per atom): -8.42
M_tot (μB/atom): 1.3259
Space group: No. 44
D(E_F) (states/eV per atom): 1.075
DFT formation energy (meV per atom): 75

19.
BPtRh: optimized geometry, PBE.

Cell lengths 2.940, 2.940, 5.048 Å; angles 90.00, 90.00, 120.00 degrees
Positions (direct):
B 0.000 0.000 0.000
Pt 0.333 0.667 0.270
Rh 0.667 0.333 0.747

Energy (eV per atom): -6.86
M_tot (μB/atom): 0.0000
Space group: No. 156
D(E_F) (states/eV per atom): 0.733
DFT formation energy (meV per atom): -171

20.
NdAl5Pt3: optimized geometry, PBE.

Cell lengths 6.795, 6.795, 12.611 Å; angles 90.00, 90.00, 145.12 degrees
Positions (direct):
Nd 0.161 0.839 0.750
Nd 0.839 0.161 0.250
Al 0.000 0.000 0.000
Al 0.000 0.000 0.500
Al 0.200 0.800 0.064
Al 0.200 0.800 0.436
Al 0.444 0.556 0.649
Al 0.444 0.556 0.851
Al 0.556 0.444 0.149
Al 0.556 0.444 0.351
Al 0.800 0.200 0.564
Al 0.800 0.200 0.936
Pt 0.123 0.877 0.250
Pt 0.388 0.612 0.044
Pt 0.388 0.612 0.456
Pt 0.612 0.388 0.544
Pt 0.612 0.388 0.956
Pt 0.877 0.123 0.750

Energy (eV per atom): -5.56
M_tot (μB/atom): 0.0000
Space group: No. 63
D(E_F) (states/eV per atom): 0.385
DFT formation energy (meV per atom): -941